Below is ZrTeCl2 after structural relaxation, with properties calculated at the GGA-PBEsol level.

Total magnetic moment (μB per formula unit): 0.00
Energy above the lowest structure with this stoichiometry (eV per atom): 0.2528
Uncorrected energy (eV/atom): -5.252
Energy relative to the elements, uncorrected (meV/atom): -1094
Space group: Imm2
Density of states at the Fermi level (states/eV/cell): 0.7

abc: 7.8012 7.8012 7.8012
angles: 157.05 144.77 42.46
Atoms (fractional coordinates):
Zr (0.0000, 0.0000, 0.0000)
Te (0.1704, 0.6704, 0.5000)
Cl (0.4950, 0.4950, 0.0000)
Cl (0.8615, 0.3615, 0.5000)